Model i:
# BaTi3Be, optimized geometry, DFT PBE
# Calculated density ... 4.02 g/cm³
data_BaTi3Be
_chemical_formula_sum 'Ba1 Ti3 Be1'
_cell_length_a 4.928
_cell_length_b 4.928
_cell_length_c 4.928
_cell_angle_alpha 90.00
_cell_angle_beta 90.00
_cell_angle_gamma 90.00
_symmetry_space_group_name_H-M 'P m -3 m'
_symmetry_Int_Tables_number 221
_symmetry_space_group_name_Hall '-P 4 2 3'
loop_
_atom_site_label
_atom_site_fract_x
_atom_site_fract_y
_atom_site_fract_z
Ba1 0.000 0.000 0.000
Ti1 0.000 0.000 0.500
Be1 0.500 0.500 0.500

Model ii:
# BaTi3Be, optimized geometry, DFT PBE
# Calculated density ... 4.57 g/cm³
data_BaTi3Be
_chemical_formula_sum 'Ba1 Ti3 Be1'
_cell_length_a 4.723
_cell_length_b 4.723
_cell_length_c 4.723
_cell_angle_alpha 90.00
_cell_angle_beta 90.00
_cell_angle_gamma 90.00
_symmetry_space_group_name_H-M 'P m -3 m'
_symmetry_Int_Tables_number 221
_symmetry_space_group_name_Hall '-P 4 2 3'
loop_
_atom_site_label
_atom_site_fract_x
_atom_site_fract_y
_atom_site_fract_z
Ba1 0.000 0.000 0.000
Ti1 0.000 0.500 0.500
Be1 0.500 0.500 0.500

Bottom line: model ii, by a margin of 1429 meV per atom.

Model i:
# BaBeTl3, optimized geometry, DFT PBE
# Calculated density ... 4.32 g/cm³
data_BaBeTl3
_chemical_formula_sum 'Ba1 Be1 Tl3'
_cell_length_a 6.636
_cell_length_b 6.636
_cell_length_c 6.636
_cell_angle_alpha 90.00
_cell_angle_beta 90.00
_cell_angle_gamma 90.00
_symmetry_space_group_name_H-M 'P m -3 m'
_symmetry_Int_Tables_number 221
_symmetry_space_group_name_Hall '-P 4 2 3'
loop_
_atom_site_label
_atom_site_fract_x
_atom_site_fract_y
_atom_site_fract_z
Ba1 0.000 0.000 0.000
Be1 0.500 0.500 0.500
Tl1 0.000 0.000 0.500

Model ii:
# BaBeTl3, optimized geometry, DFT PBE
# Calculated density ... 8.71 g/cm³
data_BaBeTl3
_chemical_formula_sum 'Ba1 Be1 Tl3'
_cell_length_a 5.251
_cell_length_b 5.251
_cell_length_c 5.251
_cell_angle_alpha 90.00
_cell_angle_beta 90.00
_cell_angle_gamma 90.00
_symmetry_space_group_name_H-M 'P m -3 m'
_symmetry_Int_Tables_number 221
_symmetry_space_group_name_Hall '-P 4 2 3'
loop_
_atom_site_label
_atom_site_fract_x
_atom_site_fract_y
_atom_site_fract_z
Ba1 0.000 0.000 0.000
Be1 0.500 0.500 0.500
Tl1 0.000 0.500 0.500

Bottom line: model ii, by a margin of 1192 meV per atom.

Model i:
# BaBeTl, optimized geometry, DFT PBE
# Calculated density ... 5.16 g/cm³
data_BaBeTl
_chemical_formula_sum 'Ba4 Be4 Tl4'
_cell_length_a 7.674
_cell_length_b 7.674
_cell_length_c 7.674
_cell_angle_alpha 90.00
_cell_angle_beta 90.00
_cell_angle_gamma 90.00
_symmetry_space_group_name_H-M 'F -4 3 m'
_symmetry_Int_Tables_number 216
_symmetry_space_group_name_Hall 'F -4 2 3'
loop_
_atom_site_label
_atom_site_fract_x
_atom_site_fract_y
_atom_site_fract_z
Ba1 0.000 0.000 0.000
Be1 0.250 0.250 0.750
Tl1 0.250 0.250 0.250

Model ii:
# BaBeTl, optimized geometry, DFT PBE
# Calculated density ... 6.97 g/cm³
data_BaBeTl
_chemical_formula_sum 'Ba2 Be2 Tl2'
_cell_length_a 3.642
_cell_length_b 3.642
_cell_length_c 12.604
_cell_angle_alpha 90.00
_cell_angle_beta 90.00
_cell_angle_gamma 90.00
_symmetry_space_group_name_H-M 'I 4 m m'
_symmetry_Int_Tables_number 107
_symmetry_space_group_name_Hall 'I 4 -2'
loop_
_atom_site_label
_atom_site_fract_x
_atom_site_fract_y
_atom_site_fract_z
Ba1 0.000 0.000 0.000
Be1 0.000 0.000 0.683
Tl1 0.000 0.000 0.286

Bottom line: model ii, by a margin of 467 meV per atom.

Model i:
# BaBeTl, optimized geometry, DFT PBE
# Calculated density ... 5.61 g/cm³
data_BaBeTl
_chemical_formula_sum 'Ba4 Be4 Tl4'
_cell_length_a 7.462
_cell_length_b 7.462
_cell_length_c 7.462
_cell_angle_alpha 90.00
_cell_angle_beta 90.00
_cell_angle_gamma 90.00
_symmetry_space_group_name_H-M 'F -4 3 m'
_symmetry_Int_Tables_number 216
_symmetry_space_group_name_Hall 'F -4 2 3'
loop_
_atom_site_label
_atom_site_fract_x
_atom_site_fract_y
_atom_site_fract_z
Ba1 0.000 0.000 0.000
Be1 0.000 0.000 0.500
Tl1 0.250 0.250 0.750

Model ii:
# BaBeTl, optimized geometry, DFT PBE
# Calculated density ... 6.48 g/cm³
data_BaBeTl
_chemical_formula_sum 'Ba1 Be1 Tl1'
_cell_length_a 4.4220
_cell_length_b 4.4220
_cell_length_c 5.3072
_cell_angle_alpha 90.00
_cell_angle_beta 90.00
_cell_angle_gamma 120.00
_symmetry_space_group_name_H-M 'P -6 m 2'
_symmetry_Int_Tables_number 187
_symmetry_space_group_name_Hall 'P -6 2'
loop_
_atom_site_label
_atom_site_fract_x
_atom_site_fract_y
_atom_site_fract_z
Ba1 0.0000 0.0000 0.0000
Be1 0.6667 0.3333 0.5000
Tl1 0.3333 0.6667 0.5000

Bottom line: model ii, by a margin of 426 meV per atom.

Model i:
# Ba2BeTl, optimized geometry, DFT PBE
# Calculated density ... 5.62 g/cm³
data_Ba2BeTl
_chemical_formula_sum 'Ba4 Be2 Tl2'
_cell_length_a 8.295
_cell_length_b 8.315
_cell_length_c 4.184
_cell_angle_alpha 90.00
_cell_angle_beta 90.00
_cell_angle_gamma 90.00
_symmetry_space_group_name_H-M 'C m m m'
_symmetry_Int_Tables_number 65
_symmetry_space_group_name_Hall '-C 2 2'
loop_
_atom_site_label
_atom_site_fract_x
_atom_site_fract_y
_atom_site_fract_z
Ba1 0.250 0.250 0.000
Be1 0.000 0.000 0.500
Tl1 0.000 0.500 0.500

Model ii:
# Ba2BeTl, optimized geometry, DFT PBE
# Calculated density ... 5.99 g/cm³
data_Ba2BeTl
_chemical_formula_sum 'Ba4 Be2 Tl2'
_cell_length_a 5.134
_cell_length_b 5.134
_cell_length_c 10.262
_cell_angle_alpha 90.00
_cell_angle_beta 90.00
_cell_angle_gamma 90.00
_symmetry_space_group_name_H-M 'I -4 m 2'
_symmetry_Int_Tables_number 119
_symmetry_space_group_name_Hall 'I -4 -2'
loop_
_atom_site_label
_atom_site_fract_x
_atom_site_fract_y
_atom_site_fract_z
Ba1 0.000 0.000 0.000
Ba2 0.000 0.500 0.250
Be1 0.000 0.500 0.750
Tl1 0.000 0.000 0.500

Model iii:
# Ba2BeTl, optimized geometry, DFT PBE
# Calculated density ... 5.06 g/cm³
data_Ba2BeTl
_chemical_formula_sum 'Ba6 Be3 Tl3'
_cell_length_a 4.3073
_cell_length_b 4.3073
_cell_length_c 29.8832
_cell_angle_alpha 90.00
_cell_angle_beta 90.00
_cell_angle_gamma 120.00
_symmetry_space_group_name_H-M 'R -3 m'
_symmetry_Int_Tables_number 166
_symmetry_space_group_name_Hall '-R 3 2"'
loop_
_atom_site_label
_atom_site_fract_x
_atom_site_fract_y
_atom_site_fract_z
Ba1 0.0000 0.0000 0.2410
Be1 0.0000 0.0000 0.5000
Tl1 0.0000 0.0000 0.0000

Bottom line: model i, by a margin of 154 meV per atom.

Model i:
# BaBeV3, optimized geometry, DFT PBE
# Calculated density ... 4.81 g/cm³
data_BaBeV3
_chemical_formula_sum 'Ba1 Be1 V3'
_cell_length_a 4.693
_cell_length_b 4.693
_cell_length_c 4.693
_cell_angle_alpha 90.00
_cell_angle_beta 90.00
_cell_angle_gamma 90.00
_symmetry_space_group_name_H-M 'P m -3 m'
_symmetry_Int_Tables_number 221
_symmetry_space_group_name_Hall '-P 4 2 3'
loop_
_atom_site_label
_atom_site_fract_x
_atom_site_fract_y
_atom_site_fract_z
Ba1 0.000 0.000 0.000
Be1 0.500 0.500 0.500
V1 0.000 0.500 0.500

Model ii:
# BaBeV3, optimized geometry, DFT PBE
# Calculated density ... 4.70 g/cm³
data_BaBeV3
_chemical_formula_sum 'Ba1 Be1 V3'
_cell_length_a 4.729
_cell_length_b 4.729
_cell_length_c 4.729
_cell_angle_alpha 90.00
_cell_angle_beta 90.00
_cell_angle_gamma 90.00
_symmetry_space_group_name_H-M 'P m -3 m'
_symmetry_Int_Tables_number 221
_symmetry_space_group_name_Hall '-P 4 2 3'
loop_
_atom_site_label
_atom_site_fract_x
_atom_site_fract_y
_atom_site_fract_z
Ba1 0.000 0.000 0.000
Be1 0.500 0.500 0.500
V1 0.000 0.000 0.500

Bottom line: model i, by a margin of 1576 meV per atom.